Below is a relaxed structure of AcCeBiBr, with properties calculated at the PBE-GGA level. Values from VASP.

Quantum ESPRESSO input file:
```
&SYSTEM
  ibrav = 0, nat = 4, ntyp = 4
/
ATOMIC_SPECIES
Ac 227.00 Ac.upf
Ce 140.12 Ce.upf
Bi 208.98 Bi.upf
Br 79.90 Br.upf
ATOMIC_POSITIONS angstrom
Ac 0.000 0.000 0.000
Ce 3.985 3.985 3.985
Bi 5.977 5.977 5.977
Br 1.992 1.992 1.992
CELL_PARAMETERS angstrom
0.000 3.985 3.985
3.985 0.000 3.985
3.985 3.985 0.000
```

Computed properties:
The symmetry is F-43m, No. 216. The uncorrected formation energy comes out at -3.72 eV/f.u.